# 1
# Cs3TbNd2Se6

A relaxed structure of Cs3TbNd2Se6 (PBE, Alexandria via LeMat-Bulk).

As for the crystal system: monoclinic. As for the calculated volume: 832 Å³/cell. As for the total energy: -4.86 eV per atom. Its total magnetic moment is 0.0000 μB per atom.

a b c (Å): 7.5590 13.0926 8.7723
angles (deg): 90.00 106.70 90.00
Closest atoms and distances in Å follow each position.
Space group C2/m (No. 12)
Symmetry-distinct sites (fractional):
1 Cs 0.0000 0.0000 0.0000 x2  6 Se 3.61-3.66
2 Cs 0.0000 0.3318 0.0000 x4  6 Se 3.61-3.65
3 Tb 0.0000 0.5000 0.5000 x2  6 Se 2.93-2.94
4 Nd 0.0000 0.1665 0.5000 x4  6 Se 3.00
5 Se 0.2262 0.3368 0.6888 x8  1 Tb 2.93, 2 Nd 3.00
6 Se 0.2367 0.0000 0.6895 x4  1 Tb 2.94, 2 Nd 3.00

# 2
# ScCd

A relaxed structure of ScCd (PBE, Alexandria via LeMat-Bulk).

The energy relative to the elements comes out at 0.020 eV per atom. As for the crystal system: tetragonal. As for the calculated volume: 396 Å³/cell. As for the total energy: -3.60 eV per atom. Its total magnetic moment is 0.0001 μB per atom.

a b c (Å): 11.1260 11.1260 3.1985
angles (deg): 90.00 90.00 90.00
Closest atoms and distances in Å follow each position.
Space group I4/m (No. 87)
Symmetry-distinct sites (fractional):
1 Sc 0.1052 0.6397 0.0000 x8  4 Cd 3.05-3.11, 6 Sc 3.18-3.20
2 Cd 0.0871 0.1651 0.0000 x8  4 Cd 2.94-3.20, 4 Sc 3.05-3.11

# 3
# LiCePuTh

A relaxed structure of LiCePuTh (PBE, Alexandria via LeMat-Bulk).

The energy relative to the elements comes out at 0.193 eV per atom. As for the crystal system: cubic. As for the calculated volume: 405 Å³/cell. As for the total energy: -7.21 eV per atom. Its total magnetic moment is 2.0270 μB per atom.

a b c (Å): 7.3983 7.3983 7.3983
angles (deg): 90.00 90.00 90.00
Closest atoms and distances in Å follow each position.
Space group F-43m (No. 216)
Symmetry-distinct sites (fractional):
1 Li 0.0000 0.0000 0.0000 x4  4 Ce 3.20, 4 Th 3.20
2 Ce 0.2500 0.2500 0.7500 x4  4 Li 3.20, 4 Pu 3.20
3 Pu 0.0000 0.0000 0.5000 x4  4 Th 3.20, 4 Ce 3.20
4 Th 0.2500 0.2500 0.2500 x4  4 Li 3.20, 4 Pu 3.20

# 4
# SrCd2Pt

A relaxed structure of SrCd2Pt (PBE, Alexandria via LeMat-Bulk).

The energy relative to the elements comes out at -0.047 eV per atom. As for the crystal system: orthorhombic. As for the calculated volume: 189 Å³/cell. As for the total energy: -2.43 eV per atom. Its total magnetic moment is 0.0000 μB per atom.

a b c (Å): 5.8293 10.2784 3.1499
angles (deg): 90.00 90.00 90.00
Closest atoms and distances in Å follow each position.
Space group Cmmm (No. 65)
Symmetry-distinct sites (fractional):
1 Sr 0.0000 0.0000 0.0000 x2  2 Pt 2.91, 2 Sr 3.15
2 Cd 0.2500 0.2500 0.5000 x4  4 Cd 2.91-3.15
3 Pt 0.0000 0.5000 0.0000 x2  2 Sr 2.91, 2 Pt 3.15